No. 1
NaCeEr4Se8: optimized geometry, GGA-PBE.

## Properties
ΔE_f (raw): -2340.8 kJ/mol of formula units
spin magnetization: 3.01 μB per cell
total DFT energy (no corrections): -5.55 eV per atom

Cell: 8.3956 8.3956 21.0558 Å, 90.00 90.00 120.00°
Space group R3m (No. 160, hexagonal axes)
Symmetry-distinct sites (fractional):
1 Na 0.0000 0.0000 0.0000 [3 per cell]
2 Ce 0.0000 0.0000 0.6310 [3 per cell]
3 Er 0.0000 0.0000 0.2539 [3 per cell]
4 Er 0.1733 0.3466 0.4592 [9 per cell]
5 Se 0.0000 0.0000 0.3858 [3 per cell]
6 Se 0.0000 0.0000 0.8666 [3 per cell]
7 Se 0.0223 0.5111 0.3843 [9 per cell]
8 Se 0.1736 0.3472 0.2046 [9 per cell]

No. 2
RbS: optimized geometry, GGA-PBE.

## Properties
ΔE_f (raw): -139.0 kJ/mol of formula units
spin magnetization: 2.03 μB per cell
total DFT energy (no corrections): -3.27 eV per atom

Cell: 5.415 13.856 6.551 Å, 90.00 90.00 90.00°
Space group Imm2 (No. 44)
Symmetry-distinct sites (fractional):
1 Rb 0.000 0.000 0.000 [2 per cell]
2 Rb 0.000 0.302 0.088 [4 per cell]
3 S 0.000 0.347 0.590 [4 per cell]
4 S 0.000 0.500 0.738 [2 per cell]

No. 3
TeP2Ir: optimized geometry, GGA-PBE.

## Properties
ΔE_f (raw): 265.7 kJ/mol of formula units
spin magnetization: 0.00 μB per cell
total DFT energy (no corrections): -5.02 eV per atom

Cell: 4.625 4.625 3.113 Å, 90.00 90.00 90.00°
Space group P4/mmm (No. 123)
Symmetry-distinct sites (fractional):
1 Te 0.000 0.000 0.000 [1 per cell]
2 P 0.000 0.500 0.500 [2 per cell]
3 Ir 0.500 0.500 0.000 [1 per cell]

No. 4
La12Pm5Tm2: optimized geometry, GGA-PBE.

## Properties
spin magnetization: 0.00 μB per cell
relative energy among the computed polymorphs: 6.2 kJ per mole of atoms
DFT formation energy: 0.15 eV per atom
total DFT energy (no corrections): -4.68 eV per atom

Cell: 19.524 7.636 10.197 Å, 90.00 116.19 90.00°
Space group C2/m (No. 12)
Symmetry-distinct sites (fractional):
1 La 0.004 0.000 0.213 [4 per cell]
2 La 0.011 0.500 0.334 [4 per cell]
3 La 0.159 0.249 0.847 [8 per cell]
4 La 0.167 0.234 0.499 [8 per cell]
5 Pm 0.000 0.000 0.500 [2 per cell]
6 Pm 0.173 0.000 0.164 [4 per cell]
7 Pm 0.175 0.500 0.194 [4 per cell]
8 Tm 0.000 0.300 0.000 [4 per cell]

No. 5
Pr6GaP2S3: optimized geometry, GGA-PBE.

## Properties
ΔE_f (raw): -1879.4 kJ/mol of formula units
spin magnetization: 0.00 μB per cell
total DFT energy (no corrections): -6.20 eV per atom

Cell: 18.287 4.153 8.437 Å, 90.00 103.29 90.00°
Space group C2/m (No. 12)
Symmetry-distinct sites (fractional):
1 Pr 0.001 0.000 0.258 [4 per cell]
2 Pr 0.168 0.500 0.088 [4 per cell]
3 Pr 0.169 0.500 0.579 [4 per cell]
4 Ga 0.000 0.500 0.000 [2 per cell]
5 P 0.167 0.000 0.335 [4 per cell]
6 S 0.000 0.500 0.500 [2 per cell]
7 S 0.168 0.000 0.832 [4 per cell]

No. 6
Nd4Er3Ga4: optimized geometry, GGA-PBE.

## Properties
spin magnetization: 0.00 μB per cell
DFT formation energy: -0.41 eV per atom
total DFT energy (no corrections): -4.49 eV per atom

Cell: 3.534 9.075 18.410 Å, 90.00 90.00 90.00°
Space group Immm (No. 71)
Symmetry-distinct sites (fractional):
1 Nd 0.000 0.176 0.165 [8 per cell]
2 Er 0.000 0.000 0.408 [4 per cell]
3 Er 0.000 0.500 0.500 [2 per cell]
4 Ga 0.000 0.277 0.000 [4 per cell]
5 Ga 0.000 0.500 0.221 [4 per cell]

No. 7
PrTm6Cd2: optimized geometry, GGA-PBE.

## Properties
spin magnetization: 0.00 μB per cell
relative energy among the computed polymorphs: 0.0 kJ per mole of atoms
DFT formation energy: -0.12 eV per atom
total DFT energy (no corrections): -3.83 eV per atom

Cell: 12.551 3.690 11.808 Å, 90.00 107.92 90.00°
Space group C2/m (No. 12)
Symmetry-distinct sites (fractional):
1 Pr 0.000 0.000 0.000 [2 per cell]
2 Tm 0.014 0.000 0.344 [4 per cell]
3 Tm 0.184 0.500 0.875 [4 per cell]
4 Tm 0.187 0.500 0.581 [4 per cell]
5 Cd 0.151 0.500 0.221 [4 per cell]

No. 8
BeRePb2: optimized geometry, GGA-PBE.

## Properties
spin magnetization: 0.00 μB per cell
DFT formation energy: 0.46 eV per atom
total DFT energy (no corrections): -5.44 eV per atom

Cell: 3.171 3.171 8.766 Å, 90.00 90.00 90.00°
Space group P4mm (No. 99)
Symmetry-distinct sites (fractional):
1 Be 0.000 0.000 0.000 [1 per cell]
2 Re 0.500 0.500 0.916 [1 per cell]
3 Pb 0.000 0.000 0.675 [1 per cell]
4 Pb 0.500 0.500 0.254 [1 per cell]